# La3SnPt

A geometry-optimized La3SnPt structure (PBE, Alexandria).

Theoretical density   6.664 g cm⁻³
Magnetic moment   0.0 μB/f.u.
Excess energy over the best structure of this formula in the dataset   0.247 eV/atom
ΔH_f (0 K)   -0.617 eV/atom

Geometry as extended XYZ:
```
5
Lattice="-4.017 -0.890 -3.897 3.970 -1.530 -3.743 -0.464 -5.384 1.708" Properties=species:S:1:pos:R:3 pbc="T T T"
La 1.985 -0.765 -1.872
La -0.232 -2.692 0.854
La -2.009 -0.445 -1.948
Pt 0.000 0.000 0.000
Sn -0.256 -3.902 -2.966
```